A relaxed structure of Cd12InHg4, computed with PBE.

energy of formation from the pure elements = 0.1424 eV per atom
SG = Im-3

Cell lengths 8.6140, 8.6140, 8.6140 Å; angles 109.47, 109.47, 109.47 degrees
Fractional positions:
Cd  0.1468  0.4987  0.3519
Cd  0.1468  0.7950  0.6481
Cd  0.2050  0.3519  0.8532
Cd  0.3519  0.1468  0.4987
Cd  0.3519  0.8532  0.2050
Cd  0.4987  0.3519  0.1468
Cd  0.5013  0.6481  0.8532
Cd  0.6481  0.1468  0.7950
Cd  0.6481  0.8532  0.5013
Cd  0.7950  0.6481  0.1468
Cd  0.8532  0.2050  0.3519
Cd  0.8532  0.5013  0.6481
In  0.0000  0.0000  0.0000
Hg  0.0000  0.0000  0.5000
Hg  0.0000  0.5000  0.0000
Hg  0.5000  0.0000  0.0000
Hg  0.5000  0.5000  0.5000